Record 1
Material: CsLiI2O
Method: DFT, meta-GGA SCAN
State: single point on PBEsol structure

Cell and atoms, written as POSCAR:
```
CsLiI2O
1.0
6.405 0.000 0.000
0.000 6.405 0.000
0.000 0.000 3.723
Cs Li I O
1 1 2 1
Direct
0.000 0.000 0.000
0.500 0.500 0.500
0.000 0.500 0.500
0.500 0.000 0.500
0.500 0.500 0.000
```

Record 2
Material: Cs2LiPrI6
Method: DFT, meta-GGA SCAN
State: single point on PBEsol structure

Cell and atoms, written as POSCAR:
```
Cs2LiPrI6
1.0
0.000 5.982 5.982
5.982 0.000 5.982
5.982 5.982 0.000
Cs Li Pr I
2 1 1 6
Direct
0.250 0.250 0.250
0.750 0.750 0.750
0.000 0.000 0.000
0.500 0.500 0.500
0.243 0.243 0.757
0.243 0.757 0.243
0.243 0.757 0.757
0.757 0.243 0.243
0.757 0.243 0.757
0.757 0.757 0.243
```

Record 3
Material: CsRbLiI2
Method: DFT, meta-GGA SCAN
State: single point on PBEsol structure

Cell and atoms, written as POSCAR:
```
CsRbLiI2
1.0
5.828 0.000 0.000
0.000 5.828 0.000
0.000 0.000 6.218
Cs Rb Li I
1 1 1 2
Direct
0.000 0.000 0.000
0.500 0.500 0.000
0.000 0.000 0.500
0.000 0.500 0.500
0.500 0.000 0.500
```

Record 4
Material: Cs2LiYI6
Method: DFT, meta-GGA SCAN
State: single point on PBEsol structure

Cell and atoms, written as POSCAR:
```
Cs2LiYI6
1.0
0.000 5.891 5.891
5.891 0.000 5.891
5.891 5.891 0.000
Cs Li Y I
2 1 1 6
Direct
0.250 0.250 0.250
0.750 0.750 0.750
0.000 0.000 0.000
0.500 0.500 0.500
0.247 0.247 0.753
0.247 0.753 0.247
0.247 0.753 0.753
0.753 0.247 0.247
0.753 0.247 0.753
0.753 0.753 0.247
```

Record 5
CsMg3I meta-GGA SCAN single point on PBEsol structure; energy above the lowest structure with this stoichiometry = 0.0000 eV/atom
1.0
6.274 0.000 0.000
0.000 6.274 0.000
0.000 0.000 6.274
Cs Mg I
1 3 1
Direct
0.000 0.000 0.000
0.000 0.500 0.500
0.500 0.000 0.500
0.500 0.500 0.000
0.500 0.500 0.500

Record 6
CsMg3I meta-GGA SCAN single point on PBEsol structure; energy above the lowest structure with this stoichiometry = 0.2863 eV/atom
1.0
7.123 0.000 0.000
0.000 7.123 0.000
0.000 0.000 7.123
Cs Mg I
1 3 1
Direct
0.000 0.000 0.000
0.000 0.000 0.500
0.000 0.500 0.000
0.500 0.000 0.000
0.500 0.500 0.500

Record 7
Material: CsMgIN2
Method: DFT, meta-GGA SCAN
State: single point on PBEsol structure

Cell and atoms, written as POSCAR:
```
CsMgIN2
1.0
4.774 0.000 0.000
0.000 4.774 0.000
0.000 0.000 5.750
Cs Mg I N
1 1 1 2
Direct
0.000 0.000 0.000
0.500 0.500 0.500
0.500 0.500 0.000
0.000 0.500 0.500
0.500 0.000 0.500
```

Record 8
Material: CsMgIO2
Method: DFT, meta-GGA SCAN
State: single point on PBEsol structure

Cell and atoms, written as POSCAR:
```
CsMgIO2
1.0
4.404 0.000 0.000
0.000 4.404 0.000
0.000 0.000 6.905
Cs Mg I O
1 1 1 2
Direct
0.000 0.000 0.000
0.500 0.500 0.500
0.000 0.000 0.500
0.000 0.500 0.000
0.500 0.000 0.000
```

Record 9
Material: CsMn2I
Method: DFT, meta-GGA SCAN
State: single point on PBEsol structure

Cell and atoms, written as POSCAR:
```
CsMn2I
1.0
0.000 3.892 3.892
3.892 0.000 3.892
3.892 3.892 0.000
Cs Mn I
1 2 1
Direct
0.000 0.000 0.000
0.250 0.250 0.250
0.750 0.750 0.750
0.500 0.500 0.500
```

Record 10
Material: CsMnI2O
Method: DFT, meta-GGA SCAN
State: single point on PBEsol structure

Cell and atoms, written as POSCAR:
```
CsMnI2O
1.0
6.660 0.000 0.000
0.000 6.660 0.000
0.000 0.000 4.259
Cs Mn I O
1 1 2 1
Direct
0.000 0.000 0.000
0.500 0.500 0.500
0.000 0.500 0.000
0.500 0.000 0.000
0.000 0.000 0.500
```

Record 11
Material: CsMn2RuI
Method: DFT, meta-GGA SCAN
State: single point on PBEsol structure

Cell and atoms, written as POSCAR:
```
CsMn2RuI
1.0
4.940 0.000 0.000
0.000 4.940 0.000
0.000 0.000 5.739
Cs Mn Ru I
1 2 1 1
Direct
0.000 0.000 0.000
0.000 0.500 0.500
0.500 0.000 0.500
0.000 0.000 0.500
0.500 0.500 0.000
```

Record 12
Material: CsZr6MnI14
Method: DFT, meta-GGA SCAN
State: single point on PBEsol structure

Cell and atoms, written as POSCAR:
```
CsZr6MnI14
1.0
7.996 -7.138 0.000
7.996 7.138 0.000
0.000 0.000 12.988
Cs Zr Mn I
2 12 2 28
Direct
0.000 0.000 0.000
0.500 0.500 0.500
0.043 0.179 0.612
0.140 0.860 0.604
0.179 0.043 0.388
0.321 0.457 0.888
0.360 0.640 0.104
0.457 0.321 0.112
0.543 0.679 0.888
0.640 0.360 0.896
0.679 0.543 0.112
0.821 0.957 0.612
0.860 0.140 0.396
0.957 0.821 0.388
0.000 0.000 0.500
0.500 0.500 0.000
0.037 0.215 0.247
0.096 0.404 0.750
0.119 0.628 0.495
0.128 0.619 0.995
0.162 0.838 0.239
0.215 0.037 0.753
0.247 0.247 0.000
0.253 0.253 0.500
0.285 0.463 0.253
0.338 0.662 0.739
0.372 0.881 0.495
0.381 0.872 0.995
0.404 0.096 0.250
0.463 0.285 0.747
0.537 0.715 0.253
0.596 0.904 0.750
0.619 0.128 0.005
0.628 0.119 0.505
0.662 0.338 0.261
0.715 0.537 0.747
0.747 0.747 0.500
0.753 0.753 0.000
0.785 0.963 0.247
0.838 0.162 0.761
0.872 0.381 0.005
0.881 0.372 0.505
0.904 0.596 0.250
0.963 0.785 0.753
```

Record 13
Material: Cs3Mo2I9
Method: DFT, meta-GGA SCAN
State: single point on PBEsol structure

Cell and atoms, written as POSCAR:
```
Cs3Mo2I9
1.0
8.068 0.000 0.000
-4.034 6.987 0.000
0.000 0.000 19.690
Cs Mo I
6 4 18
Direct
0.000 0.000 0.250
0.000 0.000 0.750
0.333 0.667 0.067
0.333 0.667 0.433
0.667 0.333 0.567
0.667 0.333 0.933
0.333 0.667 0.676
0.333 0.667 0.824
0.667 0.333 0.176
0.667 0.333 0.324
0.001 0.501 0.250
0.173 0.347 0.593
0.173 0.347 0.907
0.173 0.827 0.593
0.173 0.827 0.907
0.347 0.173 0.093
0.347 0.173 0.407
0.499 0.501 0.250
0.499 0.999 0.250
0.501 0.001 0.750
0.501 0.499 0.750
0.653 0.827 0.593
0.653 0.827 0.907
0.827 0.173 0.093
0.827 0.173 0.407
0.827 0.653 0.093
0.827 0.653 0.407
0.999 0.499 0.750
```

Record 14
Material: CsMo3I7
Method: DFT, meta-GGA SCAN
State: single point on PBEsol structure

Cell and atoms, written as POSCAR:
```
CsMo3I7
1.0
10.699 0.000 0.000
-5.350 9.266 0.000
0.000 0.000 16.306
Cs Mo I
4 12 28
Direct
0.000 0.000 0.000
0.000 0.000 0.500
0.333 0.667 0.250
0.667 0.333 0.750
0.189 0.524 0.816
0.189 0.665 0.684
0.335 0.524 0.684
0.335 0.811 0.816
0.476 0.665 0.816
0.476 0.811 0.684
0.524 0.189 0.316
0.524 0.335 0.184
0.665 0.189 0.184
0.665 0.476 0.316
0.811 0.335 0.316
0.811 0.476 0.184
0.038 0.348 0.413
0.038 0.366 0.679
0.038 0.672 0.821
0.038 0.690 0.087
0.310 0.348 0.087
0.310 0.962 0.413
0.328 0.366 0.821
0.328 0.962 0.679
0.333 0.667 0.544
0.333 0.667 0.956
0.348 0.038 0.913
0.348 0.310 0.587
0.366 0.038 0.179
0.366 0.328 0.321
0.634 0.672 0.679
0.634 0.962 0.821
0.652 0.690 0.413
0.652 0.962 0.087
0.667 0.333 0.044
0.667 0.333 0.456
0.672 0.038 0.321
0.672 0.634 0.179
0.690 0.038 0.587
0.690 0.652 0.913
0.962 0.310 0.913
0.962 0.328 0.179
0.962 0.634 0.321
0.962 0.652 0.587
```

Record 15
Material: Cs2NaMoI6
Method: DFT, meta-GGA SCAN
State: single point on PBEsol structure

Cell and atoms, written as POSCAR:
```
Cs2NaMoI6
1.0
0.000 5.849 5.849
5.849 0.000 5.849
5.849 5.849 0.000
Cs Na Mo I
2 1 1 6
Direct
0.250 0.250 0.250
0.750 0.750 0.750
0.000 0.000 0.000
0.500 0.500 0.500
0.263 0.263 0.737
0.263 0.737 0.263
0.263 0.737 0.737
0.737 0.263 0.263
0.737 0.263 0.737
0.737 0.737 0.263
```

Record 16
Material: CsMoI2O
Method: DFT, meta-GGA SCAN
State: single point on PBEsol structure

Cell and atoms, written as POSCAR:
```
CsMoI2O
1.0
6.633 0.000 0.000
0.000 6.633 0.000
0.000 0.000 4.222
Cs Mo I O
1 1 2 1
Direct
0.000 0.000 0.000
0.500 0.500 0.500
0.000 0.500 0.000
0.500 0.000 0.000
0.000 0.000 0.500
```

Record 17
Material: CsIN2
Method: DFT, meta-GGA SCAN
State: single point on PBEsol structure

Cell and atoms, written as POSCAR:
```
CsIN2
1.0
-3.300 3.300 4.298
3.300 -3.300 4.298
3.300 3.300 -4.298
Cs I N
2 2 4
Direct
0.000 0.000 0.000
0.750 0.250 0.500
0.250 0.750 0.500
0.500 0.500 0.000
0.269 0.625 0.144
0.375 0.519 0.644
0.481 0.125 0.856
0.875 0.731 0.356
```

Record 18
Material: CsNiI2N
Method: DFT, meta-GGA SCAN
State: single point on PBEsol structure

Cell and atoms, written as POSCAR:
```
CsNiI2N
1.0
6.304 0.000 0.000
0.000 6.304 0.000
0.000 0.000 3.452
Cs Ni I N
1 1 2 1
Direct
0.000 0.000 0.000
0.500 0.500 0.500
0.000 0.500 0.500
0.500 0.000 0.500
0.500 0.500 0.000
```

Record 19
CsRuI2N meta-GGA SCAN single point on PBEsol structure; energy above the lowest structure with this stoichiometry = 1.9728 eV/atom
1.0
6.683 0.000 0.000
0.000 6.683 0.000
0.000 0.000 4.548
Cs Ru I N
1 1 2 1
Direct
0.000 0.000 0.000
0.500 0.500 0.500
0.000 0.500 0.000
0.500 0.000 0.000
0.000 0.000 0.500

Record 20
CsRuI2N meta-GGA SCAN single point on PBEsol structure; energy above the lowest structure with this stoichiometry = 0.0000 eV/atom
1.0
5.899 0.000 0.000
0.000 5.899 0.000
0.000 0.000 3.751
Cs Ru I N
1 1 2 1
Direct
0.000 0.000 0.000
0.500 0.500 0.500
0.000 0.500 0.500
0.500 0.000 0.500
0.500 0.500 0.000

no.,energy (eV for the cell shown)
1,-124.04
2,-357.85
3,-138.69
4,-342.40
5,-87.33
6,-85.90
7,-95.64
8,-91.13
9,-108.27
10,-134.30
11,-143.36
12,-1556.81
13,-1053.22
14,-1626.76
15,-346.05
16,-148.05
17,-177.34
18,-136.76
19,-146.44
20,-156.30